## Ac3MnCu2O9 (PBE with a Hubbard U)

Data for a geometry-optimized Ac3MnCu2O9 structure.

The structure belongs to space group P-3m1 (No. 164); the cell edges are 5.5907, 5.5907 and 6.8600 Å and the angles 90.00°, 90.00° and 120.00°. The distinct sites, in fractional coordinates, are Ac at (0.0000, 0.0000, 0.0000), Ac at (0.3333, 0.6667, 0.6696), Mn at (0.0000, 0.0000, 0.5000), Cu at (0.3333, 0.6667, 0.1651), O at (0.0000, 0.5000, 0.0000) and O at (0.1632, 0.3264, 0.3371).

The electronic total energy comes out at -7.03 eV per atom.